Below is crystalline SrIn9Rh2 at its relaxed geometry, with properties calculated at the GGA-PBE level.

Total moment, μB/atom: 0.000
Fermi-level density of states, states/eV per atom: 0.427
DFT formation energy, eV per atom: -0.20
Energy, eV/atom: -3.617
E above lowest polymorph, meV per atom: 92
Density, kg/m3: 7739

Cell: 9.4904 9.4904 9.4904 Å, 98.95 98.95 133.54°
Last column: nearest neighbours and their distance in Å.
Sites, in units of the cell vectors:
Sr: 0.3750 0.6250 0.7500  10 In 3.58-3.74
Sr: 0.6250 0.3750 0.2500  10 In 3.58-3.74
In: 0.1178 0.5587 0.3180  2 Rh 2.87-2.92, 6 In 2.97-3.16
In: 0.1178 0.7999 0.5592  2 Rh 2.87-2.92, 6 In 2.97-3.16
In: 0.1250 0.8750 0.2500  8 In 3.13, 4 Rh 3.22
In: 0.2001 0.2593 0.3180  2 Rh 2.87-2.92, 6 In 2.97-3.16
In: 0.2001 0.8822 0.9408  2 Rh 2.87-2.92, 6 In 2.97-3.16
In: 0.2593 0.2001 0.8180  2 Rh 2.87-2.92, 6 In 2.97-3.16
In: 0.2593 0.4413 0.0592  2 Rh 2.87-2.92, 6 In 2.97-3.16
In: 0.4413 0.2593 0.5592  2 Rh 2.87-2.92, 6 In 2.97-3.16
In: 0.4413 0.8822 0.1820  2 Rh 2.87-2.92, 6 In 2.97-3.16
In: 0.5587 0.1178 0.8180  2 Rh 2.87-2.92, 6 In 2.97-3.16
In: 0.5587 0.7407 0.4408  2 Rh 2.87-2.92, 6 In 2.97-3.16
In: 0.7407 0.5587 0.9408  2 Rh 2.87-2.92, 6 In 2.97-3.16
In: 0.7407 0.7999 0.1820  2 Rh 2.87-2.92, 6 In 2.97-3.16
In: 0.7999 0.1178 0.0592  2 Rh 2.87-2.92, 6 In 2.97-3.16
In: 0.7999 0.7407 0.6820  2 Rh 2.87-2.92, 6 In 2.97-3.16
In: 0.8750 0.1250 0.7500  8 In 3.13, 4 Rh 3.22
In: 0.8822 0.2001 0.4408  2 Rh 2.87-2.92, 6 In 2.97-3.16
In: 0.8822 0.4413 0.6820  2 Rh 2.87-2.92, 6 In 2.97-3.16
Rh: 0.0000 0.0000 0.0000  8 In 2.87-2.92
Rh: 0.0000 0.0000 0.5000  8 In 2.87-2.92
Rh: 0.0000 0.5000 0.0000  8 In 2.87-2.92
Rh: 0.5000 0.0000 0.5000  8 In 2.87-2.92